(1)
The following is a GGA-PBE calculation of crystalline BePt2Cl at its relaxed geometry, from Alexandria.

abc: 3.996 3.996 16.037
angles: 90.00 90.00 90.00
Space group I-42d (No. 122)
One atom of each set of equivalent atoms:
Be  0.000  0.000  0.000 (multiplicity 4)
Pt  0.229  0.250  0.125 (multiplicity 8)
Cl  0.000  0.000  0.500 (multiplicity 4)

Calculated values
formation energy (no corrections): 247 meV/atom
energy above the most stable polymorph in this dataset: 457 meV per atom
total DFT energy (no corrections): -4.17 eV per atom

***

(2)
The following is a GGA-PBE calculation of crystalline BePt2Cl at its relaxed geometry, from Alexandria.

abc: 4.024 4.088 7.139
angles: 90.00 90.00 90.00
Space group Cmmm (No. 65)
One atom of each set of equivalent atoms:
Be  0.000  0.000  0.000 (multiplicity 2)
Pt  0.000  0.500  0.191 (multiplicity 4)
Cl  0.000  0.000  0.500 (multiplicity 2)

Calculated values
formation energy (no corrections): -119 meV/atom
energy above the most stable polymorph in this dataset: 90 meV per atom
total DFT energy (no corrections): -4.53 eV per atom

***

(3)
The following is a GGA-PBE calculation of crystalline BePt2Cl at its relaxed geometry, from Alexandria.

abc: 2.954 3.304 13.036
angles: 90.00 90.00 90.00
Space group Imm2 (No. 44)
One atom of each set of equivalent atoms:
Be  0.000  0.000  0.000 (multiplicity 2)
Pt  0.000  0.000  0.428 (multiplicity 2)
Pt  0.000  0.500  0.111 (multiplicity 2)
Cl  0.000  0.500  0.766 (multiplicity 2)

Calculated values
formation energy (no corrections): -93 meV/atom
energy above the most stable polymorph in this dataset: 117 meV per atom
total DFT energy (no corrections): -4.51 eV per atom

***

(4)
The following is a GGA-PBE calculation of crystalline BePtCl at its relaxed geometry, from Alexandria.

abc: 5.749 5.749 5.749
angles: 90.00 90.00 90.00
Space group F-43m (No. 216)
One atom of each set of equivalent atoms:
Be  0.000  0.000  0.000 (multiplicity 4)
Pt  0.250  0.250  0.750 (multiplicity 4)
Cl  0.250  0.250  0.250 (multiplicity 4)

Calculated values
formation energy (no corrections): 385 meV/atom
energy above the most stable polymorph in this dataset: 1175 meV per atom
total DFT energy (no corrections): -3.49 eV per atom

***

(5)
The following is a GGA-PBE calculation of crystalline BePt2Cl at its relaxed geometry, from Alexandria.

abc: 6.142 6.142 6.142
angles: 90.00 90.00 90.00
Space group Fm-3m (No. 225)
One atom of each set of equivalent atoms:
Be  0.000  0.000  0.000 (multiplicity 4)
Pt  0.250  0.250  0.250 (multiplicity 8)
Cl  0.000  0.000  0.500 (multiplicity 4)

Calculated values
formation energy (no corrections): 427 meV/atom
energy above the most stable polymorph in this dataset: 636 meV per atom
total DFT energy (no corrections): -3.99 eV per atom

***

(6)
The following is a GGA-PBE calculation of crystalline BePt2Cl at its relaxed geometry, from Alexandria.

abc: 4.133 4.133 3.409
angles: 90.00 90.00 90.00
Space group P4/mmm (No. 123)
One atom of each set of equivalent atoms:
Be  0.000  0.000  0.000 (multiplicity 1)
Pt  0.000  0.500  0.500 (multiplicity 2)
Cl  0.500  0.500  0.000 (multiplicity 1)

Calculated values
formation energy (no corrections): 447 meV/atom
energy above the most stable polymorph in this dataset: 656 meV per atom
total DFT energy (no corrections): -3.97 eV per atom

***

(7)
The following is a GGA-PBE calculation of crystalline BePtCl4 at its relaxed geometry, from Alexandria.

abc: 7.926 7.926 7.926
angles: 90.00 90.00 90.00
Space group F-43m (No. 216)
One atom of each set of equivalent atoms:
Be  0.000  0.000  0.000 (multiplicity 4)
Pt  0.250  0.250  0.250 (multiplicity 4)
Cl  0.125  0.125  0.625 (multiplicity 16)

Calculated values
formation energy (no corrections): 1326 meV/atom
total DFT energy (no corrections): -1.53 eV per atom

***

(8)
The following is a GGA-PBE calculation of crystalline BePt2Cl at its relaxed geometry, from Alexandria.

abc: 5.772 7.061 2.873
angles: 90.00 90.00 90.00
Space group Cmmm (No. 65)
One atom of each set of equivalent atoms:
Be  0.000  0.000  0.000 (multiplicity 2)
Pt  0.250  0.250  0.500 (multiplicity 4)
Cl  0.000  0.500  0.000 (multiplicity 2)

Calculated values
formation energy (no corrections): 448 meV/atom
energy above the most stable polymorph in this dataset: 657 meV per atom
total DFT energy (no corrections): -3.97 eV per atom

***

(9)
The following is a GGA-PBE calculation of crystalline BePtCl at its relaxed geometry, from Alexandria.

abc: 9.396 5.442 4.818
angles: 90.00 90.00 90.00
Space group Pbcm (No. 57)
One atom of each set of equivalent atoms:
Be  0.192  0.250  0.000 (multiplicity 4)
Pt  0.004  0.122  0.250 (multiplicity 4)
Cl  0.321  0.045  0.750 (multiplicity 4)

Calculated values
formation energy (no corrections): -790 meV/atom
energy above the most stable polymorph in this dataset: 0 meV per atom
total DFT energy (no corrections): -4.66 eV per atom

***

(10)
The following is a GGA-PBE calculation of crystalline BePt2Cl at its relaxed geometry, from Alexandria.

abc: 2.803 2.803 8.115
angles: 90.00 90.00 90.00
Space group P4mm (No. 99)
One atom of each set of equivalent atoms:
Be  0.000  0.000  0.000 (multiplicity 1)
Pt  0.000  0.000  0.559 (multiplicity 1)
Pt  0.500  0.500  0.811 (multiplicity 1)
Cl  0.500  0.500  0.169 (multiplicity 1)

Calculated values
formation energy (no corrections): -4 meV/atom
energy above the most stable polymorph in this dataset: 205 meV per atom
total DFT energy (no corrections): -4.42 eV per atom

***

(11)
The following is a GGA-PBE calculation of crystalline BePt3Cl at its relaxed geometry, from Alexandria.

abc: 4.333 4.333 4.333
angles: 90.00 90.00 90.00
Space group Pm-3m (No. 221)
One atom of each set of equivalent atoms:
Be  0.000  0.000  0.000 (multiplicity 1)
Pt  0.000  0.000  0.500 (multiplicity 3)
Cl  0.500  0.500  0.500 (multiplicity 1)

Calculated values
formation energy (no corrections): 495 meV/atom
energy above the most stable polymorph in this dataset: 0 meV per atom
total DFT energy (no corrections): -4.24 eV per atom

***

(12)
The following is a GGA-PBE calculation of crystalline BePt2Cl at its relaxed geometry, from Alexandria.

abc: 2.943 3.488 6.222
angles: 90.00 90.00 90.00
Space group Pmm2 (No. 25)
One atom of each set of equivalent atoms:
Be  0.000  0.000  0.000 (multiplicity 1)
Pt  0.000  0.000  0.645 (multiplicity 1)
Pt  0.500  0.500  0.929 (multiplicity 1)
Cl  0.500  0.500  0.330 (multiplicity 1)

Calculated values
formation energy (no corrections): 36 meV/atom
energy above the most stable polymorph in this dataset: 245 meV per atom
total DFT energy (no corrections): -4.38 eV per atom

***

(13)
The following is a GGA-PBE calculation of crystalline BePtCl at its relaxed geometry, from Alexandria.

abc: 2.9363 2.9363 6.7775
angles: 90.00 90.00 120.00
Space group P3m1 (No. 156)
One atom of each set of equivalent atoms:
Be  0.0000  0.0000  0.0000 (multiplicity 1)
Pt  0.6667  0.3333  0.7485 (multiplicity 1)
Cl  0.3333  0.6667  0.1902 (multiplicity 1)

Calculated values
formation energy (no corrections): -498 meV/atom
energy above the most stable polymorph in this dataset: 293 meV per atom
total DFT energy (no corrections): -4.37 eV per atom

***

(14)
The following is a GGA-PBE calculation of crystalline BePt2Cl at its relaxed geometry, from Alexandria.

abc: 6.822 2.827 7.459
angles: 90.00 107.84 90.00
Space group C2/m (No. 12)
One atom of each set of equivalent atoms:
Be  0.000  0.000  0.000 (multiplicity 2)
Pt  0.156  0.500  0.834 (multiplicity 4)
Cl  0.000  0.500  0.500 (multiplicity 2)

Calculated values
formation energy (no corrections): -209 meV/atom
energy above the most stable polymorph in this dataset: 0 meV per atom
total DFT energy (no corrections): -4.62 eV per atom